[1]
4
Lattice="-2.3200 2.3200 3.7193 2.3200 -2.3200 3.7193 2.3200 2.3200 -3.7193" Properties=species:S:1:pos:R:3 comment="YTa2Br | Alexandria via LeMat-Bulk | PBEsol | relaxed" space_group="I-4m2 (119)" polymorph_energy_mev_per_atom=490 e_form_raw_ev_per_atom=0.548 pbc="T T T"
Y 0.0000 0.0000 0.0000
Ta 2.3200 0.0000 1.8596
Ta 0.0000 0.0000 3.7193
Br 0.0000 2.3200 1.8596



[2]
4
Lattice="-1.5983 2.2859 5.5858 1.5983 -2.2859 5.5858 1.5983 2.2859 -5.5858" Properties=species:S:1:pos:R:3 comment="YTa2Br | Alexandria via LeMat-Bulk | PBEsol | relaxed" space_group="Immm (71)" polymorph_energy_mev_per_atom=190 e_form_raw_ev_per_atom=0.248 pbc="T T T"
Y 0.0000 0.0000 0.0000
Ta 1.5983 0.0000 2.9309
Ta 0.0000 2.2859 2.6549
Br 0.0000 0.0000 5.5858